[1]
Ca2GaPd6 | PBE | relaxed

Summary:
For the energy, the calculation gives -4.8822 eV per atom. For the density of states at the Fermi level, the calculation gives 0.3922 states/eV/atom. Its total moment is 0.0 μB/f.u. As for the energy of formation: -0.639 eV/atom.

a = 9.9040 Å, b = 5.7910 Å, c = 6.0189 Å
α = 90.00°, β = 104.80°, γ = 90.00°
Space group C2/m (No. 12)
Symmetry-distinct sites (fractional):
Ca 0.1422 0.0000 0.3316 x4
Ga 0.0000 0.5000 0.5000 x2
Pd 0.1220 0.5000 0.1911 x4
Pd 0.1336 0.2397 0.8119 x8

***

[2]
CaGa2Pd | PBE | relaxed

Summary:
For the energy, the calculation gives -3.8509 eV per atom. For the density of states at the Fermi level, the calculation gives 0.1758 states/eV/atom. Its total moment is 0.0 μB/f.u. As for the energy of formation: -0.539 eV/atom.

a = 3.2655 Å, b = 3.2655 Å, c = 7.1643 Å
α = 90.00°, β = 90.00°, γ = 90.00°
Space group P4/mmm (No. 123)
Symmetry-distinct sites (fractional):
Ca 0.0000 0.0000 0.0000 x1
Ga 0.5000 0.5000 0.3027 x2
Pd 0.0000 0.0000 0.5000 x1

***

[3]
CaGa2Pd | PBE | relaxed

Summary:
For the energy, the calculation gives -3.8827 eV per atom. For the density of states at the Fermi level, the calculation gives 0.8236 states/eV/atom. Its total moment is 0.0 μB/f.u. As for the energy of formation: -0.571 eV/atom.

a = 4.3398 Å, b = 4.3398 Å, c = 15.4147 Å
α = 90.00°, β = 90.00°, γ = 120.00°
Space group R-3m (No. 166, hexagonal axes)
Symmetry-distinct sites (fractional):
Ca 0.0000 0.0000 0.0000 x3
Ga 0.0000 0.0000 0.2092 x6
Pd 0.0000 0.0000 0.5000 x3

***

[4]
Ca3GaPd | PBE | relaxed

Summary:
For the energy, the calculation gives -3.0778 eV per atom. For the density of states at the Fermi level, the calculation gives 0.8229 states/eV/atom. Its total moment is 0.0 μB/f.u. As for the energy of formation: -0.233 eV/atom.

a = 5.5014 Å, b = 5.5014 Å, c = 5.5014 Å
α = 90.00°, β = 90.00°, γ = 90.00°
Space group Pm-3m (No. 221)
Symmetry-distinct sites (fractional):
Ca 0.0000 0.0000 0.5000 x3
Ga 0.5000 0.5000 0.5000 x1
Pd 0.0000 0.0000 0.0000 x1

***

[5]
CaGa3Pd10 | PBE | relaxed

Summary:
For the energy, the calculation gives -4.9696 eV per atom. For the density of states at the Fermi level, the calculation gives 0.2779 states/eV/atom. Its total moment is 0.0 μB/f.u. As for the energy of formation: -0.469 eV/atom.

a = 12.4533 Å, b = 12.4533 Å, c = 12.4533 Å
α = 90.00°, β = 90.00°, γ = 90.00°
Space group Fm-3m (No. 225)
Symmetry-distinct sites (fractional):
Ca 0.2500 0.2500 0.2500 x8
Ga 0.0000 0.0000 0.2286 x24
Pd 0.0000 0.1721 0.3279 x48
Pd 0.1207 0.1207 0.1207 x32

***

[6]
Ca2Ga5Pd5 | PBE | relaxed

Summary:
For the energy, the calculation gives -4.4406 eV per atom. For the density of states at the Fermi level, the calculation gives 0.3579 states/eV/atom. Its total moment is 0.0 μB/f.u. As for the energy of formation: -0.682 eV/atom.

a = 4.2766 Å, b = 5.3606 Å, c = 9.5778 Å
α = 90.00°, β = 90.00°, γ = 90.00°
Space group Pmmm (No. 47)
Symmetry-distinct sites (fractional):
Ca 0.0000 0.0000 0.0000 x1
Ca 0.0000 0.5000 0.5000 x1
Ga 0.5000 0.0000 0.5000 x1
Ga 0.5000 0.2468 0.2365 x4
Pd 0.0000 0.0000 0.3351 x2
Pd 0.0000 0.5000 0.1915 x2
Pd 0.5000 0.5000 0.0000 x1

***

[7]
Ca2Ga2Pd | PBE | relaxed

Summary:
For the energy, the calculation gives -3.6769 eV per atom. For the density of states at the Fermi level, the calculation gives 0.6496 states/eV/atom. Its total moment is 0.0 μB/f.u. As for the energy of formation: -0.627 eV/atom.

a = 10.6285 Å, b = 4.5302 Å, c = 10.7782 Å
α = 90.00°, β = 117.08°, γ = 90.00°
Space group C2/m (No. 12)
Symmetry-distinct sites (fractional):
Ca 0.0041 0.0000 0.3302 x4
Ca 0.1936 0.0000 0.1117 x4
Ga 0.0072 0.5000 0.8837 x4
Ga 0.1528 0.5000 0.5597 x4
Pd 0.2227 0.5000 0.3505 x4

***

[8]
CaGaPd6 | PBE | relaxed

Summary:
For the energy, the calculation gives -4.8467 eV per atom. For the density of states at the Fermi level, the calculation gives 1.0859 states/eV/atom. Its total moment is 0.0 μB/f.u. As for the energy of formation: -0.324 eV/atom.

a = 4.1036 Å, b = 4.1036 Å, c = 8.8736 Å
α = 90.00°, β = 90.00°, γ = 90.00°
Space group P4/mmm (No. 123)
Symmetry-distinct sites (fractional):
Ca 0.0000 0.0000 0.0000 x1
Ga 0.0000 0.0000 0.5000 x1
Pd 0.0000 0.5000 0.3359 x4
Pd 0.5000 0.5000 0.1421 x2

***

[9]
Ca2GaPd2 | PBE | relaxed

Summary:
For the energy, the calculation gives -3.9996 eV per atom. For the density of states at the Fermi level, the calculation gives 0.4537 states/eV/atom. Its total moment is 0.0 μB/f.u. As for the energy of formation: -0.516 eV/atom.

a = 5.6406 Å, b = 5.6406 Å, c = 7.6155 Å
α = 90.00°, β = 90.00°, γ = 90.00°
Space group I4/mmm (No. 139)
Symmetry-distinct sites (fractional):
Ca 0.0000 0.5000 0.2500 x4
Ga 0.0000 0.0000 0.0000 x2
Pd 0.0000 0.0000 0.3252 x4

***

[10]
Ca2GaPd | PBE | relaxed

Summary:
For the energy, the calculation gives -3.2760 eV per atom. For the density of states at the Fermi level, the calculation gives 0.8296 states/eV/atom. Its total moment is 0.0 μB/f.u. As for the energy of formation: -0.220 eV/atom.

a = 7.9724 Å, b = 7.9724 Å, c = 6.5879 Å
α = 90.00°, β = 90.00°, γ = 90.00°
Space group I-42d (No. 122)
Symmetry-distinct sites (fractional):
Ca 0.2227 0.2500 0.1250 x8
Ga 0.0000 0.0000 0.5000 x4
Pd 0.0000 0.0000 0.0000 x4

***

[11]
CaGa2Pd8 | PBE | relaxed

Summary:
For the energy, the calculation gives -4.6288 eV per atom. For the density of states at the Fermi level, the calculation gives 0.6222 states/eV/atom. Its total moment is 0.0 μB/f.u. As for the energy of formation: -0.120 eV/atom.

a = 5.4206 Å, b = 5.4206 Å, c = 7.8534 Å
α = 90.00°, β = 90.00°, γ = 90.00°
Space group P4/mmm (No. 123)
Symmetry-distinct sites (fractional):
Ca 0.0000 0.0000 0.0000 x1
Ga 0.0000 0.5000 0.5000 x2
Pd 0.2527 0.2527 0.2862 x8

***

[12]
Ca2Ga2Pd | PBE | relaxed

Summary:
For the energy, the calculation gives -3.6279 eV per atom. For the density of states at the Fermi level, the calculation gives 0.4104 states/eV/atom. Its total moment is 0.0 μB/f.u. As for the energy of formation: -0.578 eV/atom.

a = 3.8429 Å, b = 4.2851 Å, c = 13.9002 Å
α = 90.00°, β = 90.00°, γ = 90.00°
Space group Amm2 (No. 38)
Symmetry-distinct sites (fractional):
Ca 0.0000 0.0000 0.0000 x2
Ca 0.0000 0.0000 0.2494 x2
Ga 0.5000 0.0000 0.6217 x2
Ga 0.5000 0.0000 0.8231 x2
Pd 0.5000 0.0000 0.4284 x2